(1)
## AcMgPt (PBE)

Data for an optimized crystal structure of AcMgPt.

Cell lengths 4.617, 4.617, 4.306 Å; angles 90.00, 90.00, 120.00 degrees
Element x y z (fractional)
Ac 0.000 0.000 0.000
Mg 0.333 0.667 0.500
Pt 0.667 0.333 0.500

Summary:
Formation energy from the elements = -0.740 eV/atom
DFT total energy = -13.96 eV per cell
Distance to the lowest polymorph of the same formula = 0.145 eV per atom
M_tot = 0.00 μB per cell



(2)
## AcMgPt (PBE)

Data for an optimized crystal structure of AcMgPt.

Cell lengths 7.807, 4.344, 13.466 Å; angles 90.00, 90.44, 90.00 degrees
Element x y z (fractional)
Ac 0.037 0.250 0.375
Ac 0.160 0.250 0.084
Ac 0.458 0.750 0.713
Ac 0.542 0.250 0.287
Ac 0.840 0.750 0.916
Ac 0.963 0.750 0.625
Mg 0.138 0.250 0.803
Mg 0.369 0.750 0.462
Mg 0.495 0.250 0.920
Mg 0.505 0.750 0.080
Mg 0.631 0.250 0.538
Mg 0.862 0.750 0.197
Pt 0.242 0.750 0.249
Pt 0.262 0.250 0.578
Pt 0.263 0.750 0.915
Pt 0.737 0.250 0.085
Pt 0.738 0.750 0.422
Pt 0.758 0.250 0.751

Summary:
Formation energy from the elements = -0.883 eV/atom
DFT total energy = -86.36 eV per cell
Distance to the lowest polymorph of the same formula = 0.003 eV per atom
M_tot = 0.00 μB per cell



(3)
## Ac3MgPt (PBE)

Data for an optimized crystal structure of Ac3MgPt.

Cell lengths 5.931, 5.931, 5.931 Å; angles 90.00, 90.00, 90.00 degrees
Element x y z (fractional)
Ac 0.000 0.000 0.500
Ac 0.000 0.500 0.000
Ac 0.500 0.000 0.000
Mg 0.500 0.500 0.500
Pt 0.000 0.000 0.000

Summary:
Formation energy from the elements = -0.344 eV/atom
DFT total energy = -21.68 eV per cell
Distance to the lowest polymorph of the same formula = 0.102 eV per atom
M_tot = 0.00 μB per cell